Entry 1:
RbCo2PbCl8 | PBE | relaxed

Fermi-level density of states	12.8	states/eV/f.u.
SG	No. 148
uncorrected energy	-3.758	eV/atom
calculated density	3.168	g/cm3

```
RbCo2PbCl8
1.0
-0.979 4.994 4.214
-4.834 4.364 -1.115
-8.037 -2.344 6.091
Cl Co Pb Rb
8 2 1 1
Cartesian
-5.174 6.828 4.425
-6.296 5.175 1.287
-8.979 6.521 5.725
-8.675 0.186 4.765
-10.408 3.245 5.979
-3.441 3.769 3.212
-4.870 0.493 3.465
-7.553 1.839 7.903
-3.491 1.727 2.322
-10.358 5.287 6.868
0.000 0.000 0.000
-6.924 3.507 4.595
```

***

Entry 2:
UBeHgO6 | PBE | relaxed

Fermi-level density of states	2.2	states/eV/f.u.
SG	No. 1
uncorrected energy	-6.703	eV/atom
calculated density	6.539	g/cm3

```
UBeHgO6
1.0
0.600 -1.716 4.963
1.450 -5.995 1.956
5.231 0.116 0.644
Be O U Hg
1 6 1 1
Cartesian
2.937 -1.776 2.168
3.971 -3.040 1.886
2.610 -3.773 5.808
2.111 -1.219 3.463
5.294 -6.357 3.961
5.189 -3.492 4.489
2.725 -5.233 3.450
3.966 -5.063 4.992
0.919 -2.144 4.998
```

***

Entry 3:
HfTlSe2O8 | PBE | relaxed

Fermi-level density of states	2.5	states/eV/f.u.
SG	No. 12
uncorrected energy	-6.195	eV/atom
calculated density	5.040	g/cm3

```
HfTlSe2O8
1.0
-3.846 -3.712 0.130
-1.398 -1.846 -4.819
5.650 -6.257 0.435
Hf O Se Tl
1 8 2 1
Cartesian
0.000 0.000 0.000
4.160 -7.188 -0.652
2.801 -7.285 -3.121
-3.754 -4.628 -3.601
1.546 -8.242 -0.583
-1.140 -3.574 -3.671
-2.395 -4.531 -1.133
-1.501 -6.257 -3.101
1.907 -5.559 -1.153
2.593 -7.046 -1.374
-2.187 -4.771 -2.880
2.825 -3.129 0.218
```

***

no.,E_form (uncorrected) (eV/f.u.)
1,-11.43
2,-15.26
3,-15.39